[1]
GGA-PBE Ca2ErPd9, optimized geometry; total magnetic moment = 0.000 μB/atom; space group = No. 123; DOS(E_F) = 9.855 states/eV/f.u.; volume = 17.5 A^3/atom; energy = -62.9 eV per cell
1.0
4.127 0.000 0.000
0.000 4.127 0.000
0.000 0.000 12.334
Pd Er Ca
9 1 2
direct
0.000 0.500 0.837 Pd
0.500 0.500 0.668 Pd
0.000 0.500 0.163 Pd
0.500 0.500 0.332 Pd
0.000 0.500 0.500 Pd
0.500 0.000 0.837 Pd
0.500 0.000 0.500 Pd
0.500 0.000 0.163 Pd
0.500 0.500 0.000 Pd
0.000 0.000 0.000 Er
0.000 0.000 0.667 Ca
0.000 0.000 0.333 Ca

[2]
GGA-PBE CaEr2Pd, optimized geometry; total magnetic moment = 0.000 μB/atom; space group = No. 166; DOS(E_F) = 3.607 states/eV/f.u.; volume = 32.4 A^3/atom; energy = -17.6 eV per cell
1.0
3.999 0.000 0.000
1.999 3.463 0.000
1.999 1.154 9.370
Er Ca Pd
2 1 1
direct
0.278 0.278 0.165 Er
0.722 0.722 0.835 Er
0.500 0.500 0.500 Ca
0.000 0.000 0.000 Pd

[3]
GGA-PBE CaErPd6, optimized geometry; total magnetic moment = 0.000 μB/atom; space group = No. 187; DOS(E_F) = 9.480 states/eV/f.u.; volume = 17.6 A^3/atom; energy = -43.1 eV per cell
1.0
4.686 0.000 0.000
0.000 5.188 -2.775
0.000 -0.191 5.880
Pd Ca Er
6 1 1
direct
0.000 0.072 0.411 Pd
0.500 0.424 0.087 Pd
0.000 0.589 0.928 Pd
0.000 0.589 0.411 Pd
0.500 0.913 0.576 Pd
0.500 0.913 0.087 Pd
0.500 0.417 0.583 Ca
0.000 0.083 0.917 Er

[4]
GGA-PBE CaEr3Pd, optimized geometry; total magnetic moment = 0.002 μB/atom; space group = No. 221; DOS(E_F) = 8.860 states/eV/f.u.; volume = 32.9 A^3/atom; energy = -21.8 eV per cell
1.0
-0.888 -5.097 1.799
1.882 1.417 4.945
-5.067 1.420 1.521
Ca Er Pd
1 3 1
direct
0.500 0.500 0.500 Ca
0.500 0.000 0.000 Er
0.000 0.500 0.000 Er
0.000 0.000 0.500 Er
0.000 0.000 0.000 Pd

[5]
GGA-PBE CaErPd3, optimized geometry; total magnetic moment = 0.000 μB/atom; space group = No. 14; DOS(E_F) = 2.161 states/eV/f.u.; volume = 21.2 A^3/atom; energy = -103.5 eV per cell
1.0
-4.510 -2.905 2.213
5.368 -3.536 6.299
-2.576 6.898 3.804
Pd Er Ca
12 4 4
direct
0.794 0.842 0.578 Pd
0.206 0.158 0.422 Pd
0.961 0.241 0.159 Pd
0.654 0.381 0.969 Pd
0.154 0.619 0.531 Pd
0.846 0.381 0.469 Pd
0.294 0.158 0.922 Pd
0.346 0.619 0.031 Pd
0.706 0.842 0.078 Pd
0.039 0.759 0.841 Pd
0.461 0.759 0.341 Pd
0.539 0.241 0.659 Pd
0.230 0.941 0.121 Er
0.770 0.059 0.879 Er
0.730 0.059 0.379 Er
0.270 0.941 0.621 Er
0.083 0.392 0.779 Ca
0.417 0.392 0.279 Ca
0.917 0.608 0.221 Ca
0.583 0.608 0.721 Ca

[6]
GGA-PBE CaEr2Pd, optimized geometry; total magnetic moment = 0.000 μB/atom; space group = No. 123; DOS(E_F) = 4.279 states/eV/f.u.; volume = 28.7 A^3/atom; energy = -17.8 eV per cell
1.0
-1.569 -1.349 2.816
2.911 -1.771 0.773
3.035 7.240 5.161
Er Ca Pd
2 1 1
direct
0.000 0.000 0.179 Er
0.000 0.000 0.821 Er
0.500 0.500 0.500 Ca
0.500 0.500 0.000 Pd

[7]
GGA-PBE CaErPd, optimized geometry; total magnetic moment = 0.000 μB/atom; space group = No. 216; DOS(E_F) = 2.201 states/eV/f.u.; volume = 27.7 A^3/atom; energy = -13.1 eV per cell
1.0
-0.469 -0.133 -4.875
-2.917 -3.335 -2.091
-4.204 1.392 -2.096
Pd Ca Er
1 1 1
direct
0.250 0.250 0.250 Pd
0.500 0.500 0.500 Ca
0.000 0.000 0.000 Er

[8]
GGA-PBE CaErPd4, optimized geometry; total magnetic moment = 0.000 μB/atom; space group = No. 47; DOS(E_F) = 3.020 states/eV/f.u.; volume = 21.8 A^3/atom; energy = -30.5 eV per cell
1.0
3.633 0.000 -0.004
-0.001 4.122 -0.006
0.009 0.012 8.737
Pd Ca Er
4 1 1
direct
0.501 0.997 0.253 Pd
0.501 0.997 0.743 Pd
0.001 0.497 0.727 Pd
0.001 0.497 0.269 Pd
0.501 0.497 0.998 Ca
0.001 0.997 0.498 Er

[9]
GGA-PBE Ca3ErPd4, optimized geometry; total magnetic moment = 0.000 μB/atom; space group = No. 123; DOS(E_F) = 2.486 states/eV/f.u.; volume = 21.8 A^3/atom; energy = -37.4 eV per cell
1.0
3.510 0.000 0.000
0.000 3.510 0.000
0.000 0.000 14.171
Pd Ca Er
4 3 1
direct
0.000 0.000 0.113 Pd
0.000 0.000 0.887 Pd
0.000 0.000 0.375 Pd
0.000 0.000 0.625 Pd
0.500 0.500 0.749 Ca
0.500 0.500 0.251 Ca
0.500 0.500 0.500 Ca
0.500 0.500 0.000 Er

[10]
GGA-PBE CaErPd, optimized geometry; total magnetic moment = 0.000 μB/atom; space group = No. 8; DOS(E_F) = 2.616 states/eV/f.u.; volume = 29.9 A^3/atom; energy = -26.2 eV per cell
1.0
-3.084 -2.375 0.600
0.550 -3.591 1.525
-0.055 3.391 13.128
Ca Pd Er
2 2 2
direct
0.122 0.454 0.967 Ca
0.372 0.957 0.719 Ca
0.903 0.894 0.315 Pd
0.658 0.385 0.577 Pd
0.531 0.638 0.199 Er
0.281 0.139 0.447 Er

[11]
GGA-PBE CaErPd4, optimized geometry; total magnetic moment = 0.000 μB/atom; space group = No. 12; DOS(E_F) = 2.788 states/eV/f.u.; volume = 19.2 A^3/atom; energy = -31.1 eV per cell
1.0
3.579 0.000 1.035
1.983 4.803 -0.153
-0.062 -1.515 6.920
Pd Ca Er
4 1 1
direct
0.682 0.984 0.651 Pd
0.854 0.474 0.818 Pd
0.318 0.016 0.349 Pd
0.146 0.526 0.182 Pd
0.000 0.000 0.000 Ca
0.500 0.500 0.500 Er

[12]
GGA-PBE CaEr2Pd, optimized geometry; total magnetic moment = 0.000 μB/atom; space group = No. 160; DOS(E_F) = 4.707 states/eV/f.u.; volume = 32.4 A^3/atom; energy = -17.6 eV per cell
1.0
-0.991 -3.612 -1.499
2.739 -2.166 -2.020
3.230 -5.916 6.693
Er Ca Pd
2 1 1
direct
0.278 0.278 0.165 Er
0.055 0.055 0.836 Er
0.501 0.501 0.497 Ca
0.666 0.666 0.001 Pd

[13]
GGA-PBE CaErPd, optimized geometry; total magnetic moment = 0.000 μB/atom; space group = No. 107; DOS(E_F) = 2.261 states/eV/f.u.; volume = 26.8 A^3/atom; energy = -13.4 eV per cell
1.0
-1.846 1.281 -2.746
-3.014 -1.101 1.513
1.878 5.538 3.612
Er Ca Pd
1 1 1
direct
0.293 0.293 0.585 Er
0.028 0.028 0.055 Ca
0.680 0.680 0.359 Pd

[14]
GGA-PBE Ca2Er2Pd3, optimized geometry; total magnetic moment = 0.000 μB/atom; space group = No. 166; DOS(E_F) = 6.410 states/eV/f.u.; volume = 24.4 A^3/atom; energy = -33.8 eV per cell
1.0
4.698 -0.001 -1.312
-2.532 4.170 -0.002
-0.087 -0.051 8.757
Pd Ca Er
3 2 2
direct
0.482 0.741 0.223 Pd
0.518 0.259 0.777 Pd
0.000 0.000 0.000 Pd
0.251 0.126 0.376 Ca
0.749 0.874 0.624 Ca
0.749 0.375 0.124 Er
0.251 0.625 0.876 Er

[15]
GGA-PBE CaErPd2, optimized geometry; total magnetic moment = 0.000 μB/atom; space group = No. 123; DOS(E_F) = 0.961 states/eV/f.u.; volume = 21.6 A^3/atom; energy = -20.3 eV per cell
1.0
-0.383 1.808 2.950
1.511 -2.583 1.779
6.376 3.024 -1.025
Pd Er Ca
2 1 1
direct
0.000 0.000 0.775 Pd
0.000 0.000 0.225 Pd
0.500 0.500 0.000 Er
0.500 0.500 0.500 Ca

[16]
GGA-PBE CaErPdPt, optimized geometry; total magnetic moment = 0.000 μB/atom; space group = No. 38; DOS(E_F) = 1.104 states/eV/f.u.; volume = 22.5 A^3/atom; energy = -21.7 eV per cell
1.0
3.821 0.000 0.000
0.000 4.354 0.000
-1.911 0.000 5.405
Pt Er Pd Ca
1 1 1 1
direct
0.413 0.000 0.827 Pt
0.864 0.500 0.727 Er
0.581 0.500 0.162 Pd
0.142 0.000 0.284 Ca

[17]
GGA-PBE CaErPdPt, optimized geometry; total magnetic moment = 0.000 μB/atom; space group = No. 216; DOS(E_F) = 3.556 states/eV/f.u.; volume = 21.0 A^3/atom; energy = -21.6 eV per cell
1.0
-3.335 1.158 3.417
-4.217 -2.507 0.266
-0.815 -3.044 3.769
Ca Pt Pd Er
1 1 1 1
direct
0.500 0.500 0.500 Ca
0.750 0.750 0.750 Pt
0.250 0.250 0.250 Pd
0.000 0.000 0.000 Er

[18]
GGA-PBE CaErPdRh, optimized geometry; total magnetic moment = 0.000 μB/atom; space group = No. 216; DOS(E_F) = 1.544 states/eV/f.u.; volume = 20.5 A^3/atom; energy = -22.0 eV per cell
1.0
-4.078 2.627 -0.463
-3.127 0.322 3.724
-0.481 4.201 2.422
Rh Ca Er Pd
1 1 1 1
direct
0.500 0.500 0.500 Rh
0.750 0.750 0.750 Ca
0.250 0.250 0.250 Er
0.000 0.000 0.000 Pd

[19]
GGA-PBE CaErPdRh, optimized geometry; total magnetic moment = 0.000 μB/atom; space group = No. 99; DOS(E_F) = 1.677 states/eV/f.u.; volume = 20.8 A^3/atom; energy = -22.2 eV per cell
1.0
-1.720 0.428 -2.908
-2.240 -2.373 0.975
-4.013 5.069 3.119
Pd Rh Er Ca
1 1 1 1
direct
0.500 0.500 0.586 Pd
0.500 0.500 0.130 Rh
0.000 0.000 0.350 Er
0.000 0.000 0.862 Ca

[20]
GGA-PBE CaErPdRu, optimized geometry; total magnetic moment = 0.000 μB/atom; space group = No. 216; DOS(E_F) = 2.380 states/eV/f.u.; volume = 20.1 A^3/atom; energy = -22.6 eV per cell
1.0
-1.630 -0.036 -4.559
2.554 -2.213 -3.467
-1.632 -4.117 -1.955
Ru Pd Er Ca
1 1 1 1
direct
0.750 0.750 0.750 Ru
0.250 0.250 0.250 Pd
0.500 0.500 0.500 Er
0.000 0.000 0.000 Ca